Computed, not measured: a geometry-optimized Cs3Rb structure at the PBE level of DFT.

Cell and atoms, written as POSCAR:
```
Cs3Rb
1.0
-2.6585 8.7398 4.6381
2.6585 -8.7398 4.6381
2.6585 8.7398 -4.6381
Cs Rb
3 1
direct
0.0000 0.0000 0.0000
0.4191 0.6633 0.7557
0.9076 0.6633 0.2443
0.4936 0.9936 0.5000
```

Results
The calculation puts the electronic total energy at -0.879 eV per atom. Its density of states at the Fermi level is 4.505 states/eV/f.u. The calculation puts the formation energy at 0.003 eV/atom. Its volume is 431 Å³/cell. The mass density comes out at 1.87 g/cm³. As for the spin magnetization: 0.0 μB/cell.

***

Computed, not measured: a geometry-optimized Ba3Li2Ca2Au4 structure at the PBE level of DFT.

Cell and atoms, written as POSCAR:
```
Ba3Li2Ca2Au4
1.0
4.8263 0.0000 0.0000
-2.4131 4.1797 0.0000
0.0000 0.0000 17.3653
Ba Li Ca Au
3 2 2 4
direct
0.0000 0.0000 0.0000
0.0000 0.0000 0.2594
0.0000 0.0000 0.7406
0.3333 0.6667 0.1309
0.6667 0.3333 0.8691
0.3333 0.6667 0.5641
0.6667 0.3333 0.4359
0.3333 0.6667 0.3783
0.3333 0.6667 0.8722
0.6667 0.3333 0.1278
0.6667 0.3333 0.6217
```

Results
The calculation puts the electronic total energy at -2.997 eV per atom. Its density of states at the Fermi level is 3.394 states/eV/f.u. The calculation puts the formation energy at -0.569 eV/atom. Its volume is 350 Å³/cell. The mass density comes out at 6.13 g/cm³. As for the spin magnetization: 0.0 μB/cell.

***

Q: The lowest electronic total energy belongs to which entry?
A: Ba3Li2Ca2Au4